Entry 1:
Compound: BeIr2SeN
Source: the Alexandria database
Functional: PBE
Structure: optimized geometry

Unit cell a=4.564 b=4.564 c=3.087 alpha=90.00 beta=90.00 gamma=90.00
Fractional positions:
1 Be 0.000 0.000 0.000
2 Ir 0.000 0.500 0.000
3 Ir 0.500 0.000 0.000
4 Se 0.500 0.500 0.500
5 N 0.000 0.000 0.500

Values from the calculation:
D(E_F)	4.8	states/eV/f.u.
symmetry	P4/mmm
ΔE_f (raw)	830	meV/atom



Entry 2:
Compound: La2BeAl
Source: the Alexandria database
Functional: PBE
Structure: optimized geometry

Unit cell a=3.564 b=4.739 c=6.363 alpha=90.00 beta=90.00 gamma=90.00
Fractional positions:
1 La 0.000 0.000 0.000
2 La 0.500 0.500 0.365
3 Be 0.500 0.500 0.844
4 Al 0.000 0.000 0.529

Values from the calculation:
D(E_F)	3.4	states/eV/f.u.
energy relative to the elements	1.036	eV/f.u.
symmetry	Pmm2
energy above the lowest structure with this stoichiometry	0.3710	eV/atom



Repeat the second record exactly.
Compound: La2BeAl
Source: the Alexandria database
Functional: PBE
Structure: optimized geometry

Unit cell a=3.564 b=4.739 c=6.363 alpha=90.00 beta=90.00 gamma=90.00
Fractional positions:
1 La 0.000 0.000 0.000
2 La 0.500 0.500 0.365
3 Be 0.500 0.500 0.844
4 Al 0.000 0.000 0.529

Values from the calculation:
D(E_F)	3.4	states/eV/f.u.
energy relative to the elements	1.036	eV/f.u.
symmetry	Pmm2
energy above the lowest structure with this stoichiometry	0.3710	eV/atom